K2LaOs3O12 after structural relaxation. Source: the Alexandria database, functional GGA-PBE.

## Properties
The calculated volume is 14.093 Å³ per atom. The value obtained for the calculated total energy is -126.9 eV/f.u. The size of the total moment comes out at 0.0 μB per cell.

```
data_K2LaOs3O12
_space_group_name_H-M_alt 'R -3 m'
_space_group_IT_number 166
_space_group_name_Hall '-R 3 2"'
_cell_length_a 7.4360
_cell_length_b 7.4360
_cell_length_c 15.8924
_cell_angle_alpha 90.00
_cell_angle_beta 90.00
_cell_angle_gamma 120.00
loop_
_atom_site_label
_atom_site_fract_x
_atom_site_fract_y
_atom_site_fract_z
K1 0.0000 0.0000 0.0992
La1 0.0000 0.0000 0.5000
Os1 0.0000 0.5000 0.0000
O1 0.0620 0.5310 0.8896
O2 0.0806 0.5403 0.3047
```